(1)
A plane-wave DFT calculation with PBE-GGA was carried out for Ni2IrW after structural relaxation.

```
4
Lattice="2.655 0.000 0.000 0.000 2.655 0.000 0.000 0.000 7.476" Properties=species:S:1:pos:R:3 pbc="T T T"
Ni 0.000 0.000 1.844
Ni 0.000 0.000 5.632
Ir 1.328 1.328 0.000
W 1.328 1.328 3.738
```

## Properties
**Magnetic moment**: 0.00 μB per formula unit
**Uncorrected energy**: -8.2688 eV per atom
**Energy of formation from the pure elements**: 1.74 kcal/mol of atoms

(2)
A plane-wave DFT calculation with PBE-GGA was carried out for YNi2Ir after structural relaxation.

```
4
Lattice="2.094 1.209 4.670 -2.094 1.209 4.670 0.000 -2.418 4.670" Properties=species:S:1:pos:R:3 pbc="T T T"
Y 0.000 0.000 0.000
Ni 0.000 0.000 2.688
Ni 0.000 0.000 6.724
Ir 0.000 0.000 11.256
```

## Properties
**Magnetic moment**: 0.00 μB per formula unit
**Relative energy among the computed polymorphs**: 40.7 meV per atom
**Uncorrected energy**: -7.0749 eV per atom
**Energy of formation from the pure elements**: -8.14 kcal/mol of atoms

(3)
A plane-wave DFT calculation with PBE-GGA was carried out for YNiIr2 after structural relaxation.

```
4
Lattice="0.000 3.213 3.213 3.213 0.000 3.213 3.213 3.213 0.000" Properties=species:S:1:pos:R:3 pbc="T T T"
Y 0.000 0.000 0.000
Ni 3.213 3.213 3.213
Ir 1.607 1.607 1.607
Ir 4.820 4.820 4.820
```

## Properties
**Magnetic moment**: 1.15 μB per formula unit
**Relative energy among the computed polymorphs**: 404.0 meV per atom
**Uncorrected energy**: -7.5058 eV per atom
**Energy of formation from the pure elements**: -0.32 kcal/mol of atoms

(4)
A plane-wave DFT calculation with PBE-GGA was carried out for Y2Ni15Ir2 after structural relaxation.

```
19
Lattice="4.175 2.411 4.099 -4.175 2.411 4.099 0.000 -4.821 4.099" Properties=species:S:1:pos:R:3 pbc="T T T"
Y 0.000 0.000 1.925
Y 0.000 0.000 10.371
Ni -2.088 -1.205 4.099
Ni 0.000 -2.422 3.956
Ni -2.097 1.211 3.956
Ni -1.236 -2.140 6.148
Ni -2.472 0.000 6.148
Ni -2.097 -1.211 8.341
Ni -2.088 1.205 8.198
Ni 1.236 -2.140 6.148
Ni 0.000 2.411 4.099
Ni -1.236 2.140 6.148
Ni 2.097 1.211 3.956
Ni 2.472 0.000 6.148
Ni 1.236 2.140 6.148
Ni 2.097 -1.211 8.341
Ni 0.000 2.422 8.341
Ir 0.000 0.000 4.889
Ir 0.000 0.000 7.408
```

## Properties
**Magnetic moment**: 7.93 μB per formula unit
**Uncorrected energy**: -6.3686 eV per atom
**Energy of formation from the pure elements**: -4.41 kcal/mol of atoms

(5)
A plane-wave DFT calculation with PBE-GGA was carried out for Y3NiIr after structural relaxation.

```
5
Lattice="5.323 0.000 0.000 0.000 5.323 0.000 0.000 0.000 5.323" Properties=species:S:1:pos:R:3 pbc="T T T"
Y 0.000 0.000 2.662
Y 0.000 2.662 0.000
Y 2.662 0.000 0.000
Ni 2.662 2.662 2.662
Ir 0.000 0.000 0.000
```

## Properties
**Magnetic moment**: 0.00 μB per formula unit
**Relative energy among the computed polymorphs**: 549.7 meV per atom
**Uncorrected energy**: -6.7607 eV per atom
**Energy of formation from the pure elements**: 1.07 kcal/mol of atoms

(6)
A plane-wave DFT calculation with PBE-GGA was carried out for YNi2Ir after structural relaxation.

```
4
Lattice="0.000 3.162 3.162 3.162 0.000 3.162 3.162 3.162 0.000" Properties=species:S:1:pos:R:3 pbc="T T T"
Y 0.000 0.000 0.000
Ni 1.581 1.581 1.581
Ni 3.162 3.162 3.162
Ir 4.743 4.743 4.743
```

## Properties
**Magnetic moment**: 0.47 μB per formula unit
**Relative energy among the computed polymorphs**: 343.7 meV per atom
**Uncorrected energy**: -6.7718 eV per atom
**Energy of formation from the pure elements**: -1.15 kcal/mol of atoms

(7)
A plane-wave DFT calculation with PBE-GGA was carried out for YNi2Ir after structural relaxation.

```
4
Lattice="1.430 0.826 8.841 -1.430 0.826 8.841 0.000 -1.652 8.841" Properties=species:S:1:pos:R:3 pbc="T T T"
Y 0.000 0.000 0.000
Ni 0.000 0.000 6.412
Ni 0.000 0.000 20.113
Ir 0.000 0.000 13.262
```

## Properties
**Magnetic moment**: 0.70 μB per formula unit
**Relative energy among the computed polymorphs**: 820.7 meV per atom
**Uncorrected energy**: -6.2948 eV per atom
**Energy of formation from the pure elements**: 9.85 kcal/mol of atoms

(8)
A plane-wave DFT calculation with PBE-GGA was carried out for YNi2Ir after structural relaxation.

```
4
Lattice="4.006 0.000 0.000 0.000 4.006 0.000 0.000 0.000 3.816" Properties=species:S:1:pos:R:3 pbc="T T T"
Y 0.000 0.000 0.000
Ni 0.000 2.003 1.908
Ni 2.003 0.000 1.908
Ir 2.003 2.003 0.000
```

## Properties
**Magnetic moment**: 0.42 μB per formula unit
**Relative energy among the computed polymorphs**: 133.8 meV per atom
**Uncorrected energy**: -6.9818 eV per atom
**Energy of formation from the pure elements**: -5.99 kcal/mol of atoms

(9)
A plane-wave DFT calculation with PBE-GGA was carried out for YNiIr2 after structural relaxation.

```
8
Lattice="-2.189 2.189 8.507 2.189 -2.189 8.507 2.189 2.189 -8.507" Properties=species:S:1:pos:R:3 pbc="T T T"
Y 0.000 0.000 0.000
Y 0.000 2.189 4.253
Ni 2.189 0.000 4.253
Ni 0.000 0.000 8.507
Ir 1.094 -0.509 6.380
Ir 1.680 1.094 2.127
Ir 1.094 2.698 -2.127
Ir 0.509 1.094 10.634
```

## Properties
**Magnetic moment**: 0.00 μB per formula unit
**Relative energy among the computed polymorphs**: 386.6 meV per atom
**Uncorrected energy**: -7.5233 eV per atom
**Energy of formation from the pure elements**: -0.72 kcal/mol of atoms

(10)
A plane-wave DFT calculation with PBE-GGA was carried out for YNi2Ir after structural relaxation.

```
4
Lattice="3.174 0.000 0.000 0.000 3.337 0.000 0.000 0.000 5.959" Properties=species:S:1:pos:R:3 pbc="T T T"
Y 0.000 0.000 0.000
Ni 0.000 0.000 2.894
Ni 1.587 1.669 1.719
Ir 1.587 1.669 4.164
```

## Properties
**Magnetic moment**: 0.71 μB per formula unit
**Relative energy among the computed polymorphs**: 280.1 meV per atom
**Uncorrected energy**: -6.8355 eV per atom
**Energy of formation from the pure elements**: -2.62 kcal/mol of atoms

(11)
A plane-wave DFT calculation with PBE-GGA was carried out for YNiIr2 after structural relaxation.

```
4
Lattice="2.892 0.000 0.000 0.000 3.889 0.000 0.000 0.000 5.839" Properties=species:S:1:pos:R:3 pbc="T T T"
Y 0.000 0.000 0.000
Ni 1.446 1.945 4.210
Ir 0.000 0.000 2.952
Ir 1.446 1.945 1.736
```

## Properties
**Magnetic moment**: 0.00 μB per formula unit
**Relative energy among the computed polymorphs**: 259.6 meV per atom
**Uncorrected energy**: -7.6502 eV per atom
**Energy of formation from the pure elements**: -3.65 kcal/mol of atoms

(12)
A plane-wave DFT calculation with PBE-GGA was carried out for YNi2Ir after structural relaxation.

```
4
Lattice="3.175 0.000 0.000 0.000 4.061 0.000 -1.389 0.000 4.831" Properties=species:S:1:pos:R:3 pbc="T T T"
Y 0.000 0.000 0.000
Ni 0.293 0.000 2.523
Ni 0.196 2.031 3.913
Ir 1.768 2.031 1.896
```

## Properties
**Magnetic moment**: 0.00 μB per formula unit
**Relative energy among the computed polymorphs**: 228.0 meV per atom
**Uncorrected energy**: -6.8876 eV per atom
**Energy of formation from the pure elements**: -3.82 kcal/mol of atoms

(13)
A plane-wave DFT calculation with PBE-GGA was carried out for YNiIr2 after structural relaxation.

```
4
Lattice="2.986 0.000 0.000 0.000 4.491 0.000 0.000 0.000 4.856" Properties=species:S:1:pos:R:3 pbc="T T T"
Y 0.000 0.000 0.000
Ni 1.493 2.246 0.792
Ir 0.000 2.246 2.904
Ir 1.493 0.000 2.405
```

## Properties
**Magnetic moment**: 0.00 μB per formula unit
**Relative energy among the computed polymorphs**: 214.2 meV per atom
**Uncorrected energy**: -7.6956 eV per atom
**Energy of formation from the pure elements**: -4.70 kcal/mol of atoms